VASP calculation (PBE) on a geometry-optimized Be2IrW structure.

Values from the calculation:
Calculated formation energy   0.7 kcal/mol of atoms
Polymorph energy (0 for the lowest one)   0.2963 eV/atom
Density of states at the Fermi level   0.722 states/eV per atom

a b c (Å): 3.7661 3.7661 3.4107
angles (deg): 90.00 90.00 90.00
Space group P4/mmm (No. 123)
Asymmetric unit:
Be (0.0000, 0.5000, 0.0000) [2 per cell]
Ir (0.0000, 0.0000, 0.5000) [1 per cell]
W (0.5000, 0.5000, 0.5000) [1 per cell]

VASP calculation (PBE) on a geometry-optimized BeIrW structure.

Values from the calculation:
Calculated formation energy   -4.1 kcal/mol of atoms
Polymorph energy (0 for the lowest one)   0.1285 eV/atom
Density of states at the Fermi level   0.492 states/eV per atom

a b c (Å): 2.7765 14.6662 3.8375
angles (deg): 90.00 90.00 90.00
Space group Cmcm (No. 63)
Asymmetric unit:
Be (0.0000, 0.0369, 0.2500) [4 per cell]
Ir (0.0000, 0.4032, 0.2500) [4 per cell]
W (0.0000, 0.2054, 0.2500) [4 per cell]

VASP calculation (PBE) on a geometry-optimized Be2IrW structure.

Values from the calculation:
Calculated formation energy   1.1 kcal/mol of atoms
Polymorph energy (0 for the lowest one)   0.3157 eV/atom
Density of states at the Fermi level   0.446 states/eV per atom

a b c (Å): 2.7711 4.6021 7.9558
angles (deg): 90.00 90.00 90.00
Space group Immm (No. 71)
Asymmetric unit:
Be (0.0000, 0.0000, 0.2368) [4 per cell]
Ir (0.0000, 0.5000, 0.5000) [2 per cell]
W (0.0000, 0.5000, 0.0000) [2 per cell]